{
  "formula": "TaBe2Cd",
  "functional": "PBE-GGA",
  "state": "relaxed",
  "ef_kj_per_mol_fu": 198,
  "crystal_system": "trigonal",
  "lattice": [[1.397, 0.807, 8.855], [-1.397, 0.807, 8.855], [0.000, -1.614, 8.855]],
  "species": ["Ta", "Be", "Be", "Cd"],
  "fractional_positions": [[0.000, 0.000, 0.000], [0.477, 0.477, 0.477], [0.749, 0.749, 0.749], [0.230, 0.230, 0.230]]
}

{
  "formula": "KSrScCl6",
  "functional": "PBE-GGA",
  "state": "relaxed",
  "e_form_raw_kj_per_mol_atoms": -215,
  "crystal_system": "trigonal",
  "lattice": [[7.179, 0.000, 0.000], [-3.589, 6.217, 0.000], [0.000, 0.000, 13.152]],
  "species": ["K", "K", "Sr", "Sr", "Sc", "Sc", "Cl", "Cl", "Cl", "Cl", "Cl", "Cl", "Cl", "Cl", "Cl", "Cl", "Cl", "Cl"],
  "fractional_positions": [[0.000, 0.000, 0.000], [0.000, 0.000, 0.500], [0.333, 0.667, 0.250], [0.667, 0.333, 0.750], [0.333, 0.667, 0.750], [0.667, 0.333, 0.250], [0.041, 0.387, 0.639], [0.041, 0.654, 0.861], [0.346, 0.387, 0.861], [0.346, 0.959, 0.639], [0.387, 0.041, 0.139], [0.387, 0.346, 0.361], [0.613, 0.654, 0.639], [0.613, 0.959, 0.861], [0.654, 0.041, 0.361], [0.654, 0.613, 0.139], [0.959, 0.346, 0.139], [0.959, 0.613, 0.361]]
}

{
  "formula": "LaH10Ru3",
  "functional": "PBE-GGA",
  "state": "relaxed",
  "crystal_system": "cubic",
  "lattice": [[0.000, 4.715, 4.715], [4.715, 0.000, 4.715], [4.715, 4.715, 0.000]],
  "species": ["La", "La", "H", "H", "H", "H", "H", "H", "H", "H", "H", "H", "H", "H", "H", "H", "H", "H", "H", "H", "H", "H", "Ru", "Ru", "Ru", "Ru", "Ru", "Ru"],
  "fractional_positions": [[0.250, 0.250, 0.250], [0.750, 0.750, 0.750], [0.000, 0.000, 0.328], [0.000, 0.000, 0.672], [0.000, 0.328, 0.000], [0.000, 0.328, 0.672], [0.000, 0.672, 0.000], [0.000, 0.672, 0.328], [0.192, 0.603, 0.603], [0.328, 0.000, 0.000], [0.328, 0.000, 0.672], [0.328, 0.672, 0.000], [0.397, 0.397, 0.397], [0.397, 0.397, 0.808], [0.397, 0.808, 0.397], [0.603, 0.192, 0.603], [0.603, 0.603, 0.192], [0.603, 0.603, 0.603], [0.672, 0.000, 0.000], [0.672, 0.000, 0.328], [0.672, 0.328, 0.000], [0.808, 0.397, 0.397], [0.262, 0.262, 0.738], [0.262, 0.738, 0.262], [0.262, 0.738, 0.738], [0.738, 0.262, 0.262], [0.738, 0.262, 0.738], [0.738, 0.738, 0.262]]
}

no.,E (eV/atom),V (A^3/atom)
1,-4.54,14.98
2,-4.47,32.61
3,-4.85,7.49